# Li2VNi | Alexandria | PBE | relaxed
# - Space group: R-3m, No. 166
# - DFT formation energy: 189 meV/atom
# - Polymorph energy (0 for the lowest one): 0 meV per atom
# - Raw total energy: -4.4932 eV per atom
data_Li2VNi
_space_group_name_H-M_alt 'P 1'
_space_group_IT_number 1
_cell_length_a 9.3230
_cell_length_b 9.3230
_cell_length_c 9.3230
_cell_angle_alpha 15.66
_cell_angle_beta 15.66
_cell_angle_gamma 15.66
loop_
_space_group_symop_operation_xyz
'x,y,z'
loop_
_atom_site_label
_atom_site_type_symbol
_atom_site_fract_x
_atom_site_fract_y
_atom_site_fract_z
_atom_site_occupancy
Li1 Li 0.2425 0.2425 0.2425 1
Li2 Li 0.7575 0.7575 0.7575 1
V1 V 0.0000 0.0000 0.0000 1
Ni1 Ni 0.5000 0.5000 0.5000 1

***

# LiVNi | Alexandria | PBE | relaxed
# - Space group: R3m, No. 160
# - DFT formation energy: 107 meV/atom
# - Polymorph energy (0 for the lowest one): 24 meV per atom
# - Raw total energy: -5.4975 eV per atom
data_LiVNi
_space_group_name_H-M_alt 'P 1'
_space_group_IT_number 1
_cell_length_a 6.8808
_cell_length_b 6.8808
_cell_length_c 6.8808
_cell_angle_alpha 21.47
_cell_angle_beta 21.47
_cell_angle_gamma 21.47
loop_
_space_group_symop_operation_xyz
'x,y,z'
loop_
_atom_site_label
_atom_site_type_symbol
_atom_site_fract_x
_atom_site_fract_y
_atom_site_fract_z
_atom_site_occupancy
Li1 Li 0.0000 0.0000 0.0000 1
V1 V 0.4575 0.4575 0.4575 1
Ni1 Ni 0.2251 0.2251 0.2251 1

***

# Li2VNi | Alexandria | PBE | relaxed
# - Space group: I-42d, No. 122
# - DFT formation energy: 562 meV/atom
# - Polymorph energy (0 for the lowest one): 373 meV per atom
# - Raw total energy: -4.1203 eV per atom
data_Li2VNi
_space_group_name_H-M_alt 'P 1'
_space_group_IT_number 1
_cell_length_a 5.4036
_cell_length_b 5.4036
_cell_length_c 5.4036
_cell_angle_alpha 101.37
_cell_angle_beta 101.37
_cell_angle_gamma 127.29
loop_
_space_group_symop_operation_xyz
'x,y,z'
loop_
_atom_site_label
_atom_site_type_symbol
_atom_site_fract_x
_atom_site_fract_y
_atom_site_fract_z
_atom_site_occupancy
Li1 Li 0.0962 0.6250 0.9712 1
Li2 Li 0.3750 0.3462 0.4712 1
Li3 Li 0.6538 0.1250 0.0288 1
Li4 Li 0.8750 0.9038 0.5288 1
V1 V 0.2500 0.7500 0.5000 1
V2 V 0.5000 0.5000 0.0000 1
Ni1 Ni 0.0000 0.0000 0.0000 1
Ni2 Ni 0.7500 0.2500 0.5000 1

***

# Li2VNi2 | Alexandria | PBE | relaxed
# - Space group: P4/mbm, No. 127
# - DFT formation energy: 173 meV/atom
# - Polymorph energy (0 for the lowest one): 0 meV per atom
# - Raw total energy: -4.7285 eV per atom
data_Li2VNi2
_space_group_name_H-M_alt 'P 1'
_space_group_IT_number 1
_cell_length_a 6.7652
_cell_length_b 6.7652
_cell_length_c 2.5034
_cell_angle_alpha 90.00
_cell_angle_beta 90.00
_cell_angle_gamma 90.00
loop_
_space_group_symop_operation_xyz
'x,y,z'
loop_
_atom_site_label
_atom_site_type_symbol
_atom_site_fract_x
_atom_site_fract_y
_atom_site_fract_z
_atom_site_occupancy
Li1 Li 0.1099 0.3901 0.0000 1
Li2 Li 0.3901 0.8901 0.0000 1
Li3 Li 0.6099 0.1099 0.0000 1
Li4 Li 0.8901 0.6099 0.0000 1
V1 V 0.0000 0.0000 0.0000 1
V2 V 0.5000 0.5000 0.0000 1
Ni1 Ni 0.1930 0.6930 0.5000 1
Ni2 Ni 0.3070 0.1930 0.5000 1
Ni3 Ni 0.6930 0.8070 0.5000 1
Ni4 Ni 0.8070 0.3070 0.5000 1

***

# LiVNi | Alexandria | PBE | relaxed
# - Space group: P-3m1, No. 164
# - DFT formation energy: 117 meV/atom
# - Polymorph energy (0 for the lowest one): 33 meV per atom
# - Raw total energy: -5.4877 eV per atom
data_LiVNi
_space_group_name_H-M_alt 'P 1'
_space_group_IT_number 1
_cell_length_a 4.1794
_cell_length_b 4.1794
_cell_length_c 4.9443
_cell_angle_alpha 90.00
_cell_angle_beta 90.00
_cell_angle_gamma 120.00
loop_
_space_group_symop_operation_xyz
'x,y,z'
loop_
_atom_site_label
_atom_site_type_symbol
_atom_site_fract_x
_atom_site_fract_y
_atom_site_fract_z
_atom_site_occupancy
Li1 Li 0.3333 0.6667 0.4216 1
Li2 Li 0.6667 0.3333 0.5784 1
V1 V 0.0000 0.0000 0.2090 1
V2 V 0.0000 0.0000 0.7910 1
Ni1 Ni 0.3333 0.6667 0.9223 1
Ni2 Ni 0.6667 0.3333 0.0777 1

***

# LiVNi2 | Alexandria | PBE | relaxed
# - Space group: P4/mmm, No. 123
# - DFT formation energy: -9 meV/atom
# - Raw total energy: -5.6578 eV per atom
data_LiVNi2
_space_group_name_H-M_alt 'P 1'
_space_group_IT_number 1
_cell_length_a 4.2473
_cell_length_b 4.2473
_cell_length_c 2.6066
_cell_angle_alpha 90.00
_cell_angle_beta 90.00
_cell_angle_gamma 90.00
loop_
_space_group_symop_operation_xyz
'x,y,z'
loop_
_atom_site_label
_atom_site_type_symbol
_atom_site_fract_x
_atom_site_fract_y
_atom_site_fract_z
_atom_site_occupancy
Li1 Li 0.0000 0.0000 0.0000 1
V1 V 0.5000 0.5000 0.0000 1
Ni1 Ni 0.0000 0.5000 0.5000 1
Ni2 Ni 0.5000 0.0000 0.5000 1

***

Which value of DFT formation energy does entry 3 give? 562 meV/atom

***

Look up the DFT formation energy of the first one. 189 meV/atom

***

raw total energy of number 5 (LiVNi)? -5.4877 eV per atom